# 1
A geometry-optimized AcCo2TcO6 structure. Source: the Alexandria database, functional PBE+U.

The total energy comes out at -211.52 eV/cell. For the volume, the calculation gives 12.0 Å³/atom.

It has space group R3 (No. 146, hexagonal axes), with a = 5.3696 Å, b = 5.3696 Å, c = 14.4451 Å, α = 90.00°, β = 90.00° and γ = 120.00°. The inequivalent atoms are Ac at (0.0000, 0.0000, 0.0000), Co at (0.0000, 0.0000, 0.2536), Co at (0.0000, 0.0000, 0.7788), Tc at (0.0000, 0.0000, 0.4622), O at (0.0107, 0.5670, 0.0385) and O at (0.0124, 0.3651, 0.5220).


# 2
A geometry-optimized Ac2CoTcO8 structure. Source: the Alexandria database, functional PBE+U.

The total energy comes out at -88.09 eV/cell. For the volume, the calculation gives 14.2 Å³/atom.

It has space group P-1 (No. 2), with a = 4.5256 Å, b = 5.3667 Å, c = 7.1416 Å, α = 83.48°, β = 86.98° and γ = 82.72°. The inequivalent atoms are Ac at (0.1992, 0.0237, 0.2450), Co at (0.5000, 0.5000, 0.0000), Tc at (0.5000, 0.5000, 0.5000), O at (0.1840, 0.7339, 0.5596), O at (0.3037, 0.8149, 0.9431), O at (0.3073, 0.2295, 0.6112) and O at (0.3227, 0.4908, 0.2471).


# 3
A geometry-optimized Ac2CoTcO6 structure. Source: the Alexandria database, functional PBE+U.

The total energy comes out at -456.34 eV/cell. The value obtained for the density of states at the Fermi level is 30.49 states/eV per cell. For the volume, the calculation gives 13.3 Å³/atom.

It has space group R-3m (No. 166, hexagonal axes), with a = 5.7337 Å, b = 5.7337 Å, c = 27.9976 Å, α = 90.00°, β = 90.00° and γ = 120.00°. The inequivalent atoms are Ac at (0.0000, 0.0000, 0.1286), Ac at (0.0000, 0.0000, 0.2828), Co at (0.0000, 0.0000, 0.4111), Tc at (0.0000, 0.0000, 0.0000), Tc at (0.0000, 0.0000, 0.5000), O at (0.0109, 0.5054, 0.8733) and O at (0.0118, 0.5059, 0.7090).


# 4
A geometry-optimized AcCo2TeO8 structure. Source: the Alexandria database, functional PBE+U.

The total energy comes out at -142.87 eV/cell. The value obtained for the density of states at the Fermi level is 1.02 states/eV per cell. For the volume, the calculation gives 14.1 Å³/atom.

It has space group I-4m2 (No. 119), with a = 7.2265 Å, b = 7.2265 Å, c = 6.4819 Å, α = 90.00°, β = 90.00° and γ = 90.00°. The inequivalent atoms are Ac at (0.0000, 0.0000, 0.0000), Co at (0.0000, 0.0000, 0.5000), Co at (0.0000, 0.5000, 0.7500), Te at (0.0000, 0.5000, 0.2500), O at (0.0000, 0.1985, 0.3273) and O at (0.0000, 0.3410, 0.9490).


# 5
A geometry-optimized AcCoTe2O8 structure. Source: the Alexandria database, functional PBE+U.

The total energy comes out at -141.01 eV/cell. The value obtained for the density of states at the Fermi level is 4.48 states/eV per cell. For the volume, the calculation gives 16.4 Å³/atom.

It has space group I-4m2 (No. 119), with a = 7.4684 Å, b = 7.4684 Å, c = 7.0631 Å, α = 90.00°, β = 90.00° and γ = 90.00°. The inequivalent atoms are Ac at (0.0000, 0.0000, 0.0000), Co at (0.0000, 0.5000, 0.7500), Te at (0.0000, 0.0000, 0.5000), Te at (0.0000, 0.5000, 0.2500), O at (0.0000, 0.2006, 0.6765) and O at (0.0000, 0.3172, 0.0772).


# 6
A geometry-optimized AcTiCoO5 structure. Source: the Alexandria database, functional PBE+U.

The total energy comes out at -248.73 eV/cell. For the volume, the calculation gives 13.5 Å³/atom.

It has space group C2/c (No. 15), with a = 6.6930 Å, b = 9.4146 Å, c = 7.3071 Å, α = 90.00°, β = 110.51° and γ = 90.00°. The inequivalent atoms are Ac at (0.0000, 0.1708, 0.2500), Ti at (0.0000, 0.5000, 0.0000), Co at (0.0000, 0.1813, 0.7500), O at (0.0000, 0.4397, 0.2500), O at (0.0933, 0.3018, 0.5920) and O at (0.1871, 0.0565, 0.9249).


# 7
A geometry-optimized AcTiCoO6 structure. Source: the Alexandria database, functional PBE+U.

The total energy comes out at -132.96 eV/cell. For the volume, the calculation gives 13.3 Å³/atom.

It has space group C2 (No. 5), with a = 5.0614 Å, b = 8.8749 Å, c = 5.3415 Å, α = 90.00°, β = 90.77° and γ = 90.00°. The inequivalent atoms are Ac at (0.0000, 0.0000, 0.0000), Ti at (0.0000, 0.6625, 0.5000), Co at (0.0000, 0.3346, 0.5000), O at (0.1130, 0.4912, 0.2954), O at (0.1839, 0.1919, 0.2961) and O at (0.2050, 0.8091, 0.3010).


# 8
A geometry-optimized AcTiCo2O6 structure. Source: the Alexandria database, functional PBE+U.

The total energy comes out at -220.56 eV/cell. The value obtained for the density of states at the Fermi level is 0.00 states/eV per cell. For the volume, the calculation gives 11.6 Å³/atom.

It has space group R3 (No. 146, hexagonal axes), with a = 5.2776 Å, b = 5.2776 Å, c = 14.4351 Å, α = 90.00°, β = 90.00° and γ = 120.00°. The inequivalent atoms are Ac at (0.0000, 0.0000, 0.0000), Ti at (0.0000, 0.0000, 0.4642), Co at (0.0000, 0.0000, 0.2546), Co at (0.0000, 0.0000, 0.7753), O at (0.0082, 0.3202, 0.8518) and O at (0.0152, 0.5608, 0.0359).


# 9
A geometry-optimized Ac2TiCoO6 structure. Source: the Alexandria database, functional PBE+U.

The total energy comes out at -79.13 eV/cell. The value obtained for the density of states at the Fermi level is 0.51 states/eV per cell. For the volume, the calculation gives 12.8 Å³/atom.

It has space group P4/mmm (No. 123), with a = 5.6997 Å, b = 5.6997 Å, c = 3.9553 Å, α = 90.00°, β = 90.00° and γ = 90.00°. The inequivalent atoms are Ac at (0.0000, 0.5000, 0.0000), Ti at (0.0000, 0.0000, 0.5000), Co at (0.5000, 0.5000, 0.5000), O at (0.0000, 0.0000, 0.0000), O at (0.2405, 0.2405, 0.5000) and O at (0.5000, 0.5000, 0.0000).


# 10
A geometry-optimized AcTi2Co2O7 structure. Source: the Alexandria database, functional PBE+U.

The total energy comes out at -188.06 eV/cell. The value obtained for the density of states at the Fermi level is 5.03 states/eV per cell. For the volume, the calculation gives 11.6 Å³/atom.

It has space group Imm2 (No. 44), with a = 4.0528 Å, b = 16.7407 Å, c = 4.1051 Å, α = 90.00°, β = 90.00° and γ = 90.00°. The inequivalent atoms are Ac at (0.0000, 0.0000, 0.0000), Ti at (0.0000, 0.3833, 0.0038), Co at (0.0000, 0.2509, 0.4591), O at (0.0000, 0.1100, 0.4828), O at (0.0000, 0.2670, 0.9572), O at (0.0000, 0.3914, 0.4661) and O at (0.0000, 0.5000, 0.9524).


# 11
A geometry-optimized Ac2TlCoO6 structure. Source: the Alexandria database, functional PBE+U.

The total energy comes out at -65.57 eV/cell. For the volume, the calculation gives 16.1 Å³/atom.

It has space group P4mm (No. 99), with a = 5.6431 Å, b = 5.6431 Å, c = 5.0668 Å, α = 90.00°, β = 90.00° and γ = 90.00°. The inequivalent atoms are Ac at (0.0000, 0.5000, 0.0000), Tl at (0.0000, 0.0000, 0.5541), Co at (0.5000, 0.5000, 0.5620), O at (0.0000, 0.0000, 0.1303), O at (0.2646, 0.2646, 0.7089) and O at (0.5000, 0.5000, 0.2082).


# 12
A geometry-optimized Ac4TlCo3O12 structure. Source: the Alexandria database, functional PBE+U.

The total energy comes out at -269.42 eV/cell. The value obtained for the density of states at the Fermi level is 4.41 states/eV per cell. For the volume, the calculation gives 13.1 Å³/atom.

It has space group Im-3m (No. 229), with a = 8.0635 Å, b = 8.0635 Å, c = 8.0635 Å, α = 90.00°, β = 90.00° and γ = 90.00°. The inequivalent atoms are Ac at (0.2500, 0.2500, 0.2500), Tl at (0.0000, 0.0000, 0.0000), Co at (0.0000, 0.0000, 0.5000), O at (0.0000, 0.0000, 0.2656) and O at (0.0000, 0.2500, 0.5000).